BaEu2Cd: optimized geometry, GGA-PBE.

Cell: 12.197 12.197 12.197 Å, 19.22 19.22 19.22°
Fractional coordinates of all 4 atoms:
Ba  0.000  0.000  0.000
Eu  0.235  0.235  0.235
Eu  0.765  0.765  0.765
Cd  0.500  0.500  0.500

Output
The crystal system is trigonal. Its space group is R-3m (166). As for the energy above the most stable polymorph in this dataset: 106 meV per atom. The value obtained for the energy relative to the elements is -0.04 eV/atom.


Ac6Pr4Sm: optimized geometry, GGA-PBE.

Cell: 10.663 10.663 10.663 Å, 141.27 141.27 55.94°
Fractional coordinates of all 11 atoms:
Ac  0.000  0.500  0.500
Ac  0.172  0.172  0.633
Ac  0.460  0.828  0.000
Ac  0.500  0.000  0.500
Ac  0.540  0.540  0.367
Ac  0.828  0.460  0.000
Pr  0.018  0.647  0.000
Pr  0.353  0.353  0.372
Pr  0.647  0.018  0.000
Pr  0.982  0.982  0.628
Sm  0.000  0.000  0.000

Output
The crystal system is tetragonal. Its space group is I-42m (121). As for the energy above the most stable polymorph in this dataset: 0 meV per atom. The value obtained for the energy relative to the elements is 0.30 eV/atom.


Sc2NbRh: optimized geometry, GGA-PBE.

Cell: 5.998 5.998 5.998 Å, 103.25 103.25 122.79°
Fractional coordinates of all 8 atoms:
Sc  0.085  0.625  0.960
Sc  0.375  0.335  0.460
Sc  0.665  0.125  0.040
Sc  0.875  0.915  0.540
Nb  0.250  0.750  0.500
Nb  0.500  0.500  0.000
Rh  0.000  0.000  0.000
Rh  0.750  0.250  0.500

Output
The crystal system is tetragonal. Its space group is I-42d (122). As for the energy above the most stable polymorph in this dataset: 421 meV per atom. The value obtained for the energy relative to the elements is 0.02 eV/atom.


RuWCl3: optimized geometry, GGA-PBE.

Cell: 4.745 4.745 4.745 Å, 90.00 90.00 90.00°
Fractional coordinates of all 5 atoms:
Ru  0.000  0.000  0.000
W  0.500  0.500  0.500
Cl  0.000  0.500  0.500
Cl  0.500  0.000  0.500
Cl  0.500  0.500  0.000

Output
The crystal system is cubic. Its space group is Pm-3m (221). As for the energy above the most stable polymorph in this dataset: 50 meV per atom. As for the energy relative to the elements, uncorrected: 1.1768 eV per atom.


SiOsCl: optimized geometry, GGA-PBE.

Cell: 4.155 4.155 4.155 Å, 60.00 60.00 60.00°
Fractional coordinates of all 3 atoms:
Si  0.000  0.000  0.000
Os  0.750  0.750  0.750
Cl  0.500  0.500  0.500

Output
The crystal system is cubic. Its space group is F-43m (216). As for the energy above the most stable polymorph in this dataset: 334 meV per atom. As for the energy relative to the elements, uncorrected: 0.5834 eV per atom.


AcTm2Lu: optimized geometry, GGA-PBE.

Cell: 4.048 4.048 8.257 Å, 90.00 90.00 90.00°
Fractional coordinates of all 4 atoms:
Ac  0.000  0.000  0.000
Tm  0.500  0.500  0.282
Tm  0.500  0.500  0.718
Lu  0.000  0.000  0.500

Output
The crystal system is tetragonal. Its space group is P4/mmm (123). As for the energy above the most stable polymorph in this dataset: 15 meV per atom. The value obtained for the energy relative to the elements is 0.10 eV/atom.


BaAs: optimized geometry, GGA-PBE.

Cell: 7.230 7.230 4.372 Å, 91.66 91.66 37.05°
Fractional coordinates of all 4 atoms:
Ba  0.000  0.000  0.000
Ba  0.248  0.248  0.944
As  0.630  0.630  0.457
As  0.818  0.818  0.460

Output
The crystal system is monoclinic. Its space group is Cm (8). The value obtained for the energy relative to the elements is -0.89 eV/atom.


Cs8K3Au2: optimized geometry, GGA-PBE.

Cell: 13.508 13.508 9.185 Å, 105.81 105.81 40.82°
Fractional coordinates of all 13 atoms:
Cs  0.086  0.588  0.138
Cs  0.096  0.096  0.234
Cs  0.301  0.301  0.584
Cs  0.412  0.914  0.862
Cs  0.588  0.086  0.138
Cs  0.699  0.699  0.416
Cs  0.904  0.904  0.766
Cs  0.914  0.412  0.862
K  0.273  0.727  0.500
K  0.500  0.500  0.000
K  0.727  0.273  0.500
Au  0.231  0.231  0.168
Au  0.769  0.769  0.832

Output
The crystal system is monoclinic. Its space group is C2/m (12). The value obtained for the energy relative to the elements is -0.09 eV/atom.


Here are the calculated mass density numbers, same order: 5.3; 7.3; 6.0; 6.1; 8.3; 9.1; 5.1; 2.5 (g cm⁻³).
Here are the calculated D(E_F) numbers, same order: 19.6; 18.1; 6.4; 20.3; 3.3; 6.1; 0.8; 10.3 (states/eV per cell).